(1)
A plane-wave DFT calculation with GGA-PBE was carried out for crystalline CaAlPb2 at its relaxed geometry.

Calculated values
- Formation energy: -0.117 eV/atom

Cell: 3.939 3.939 7.093 Å, 90.00 90.00 90.35°
Fractional coordinates of all 4 atoms:
Pb  0.000  0.000  0.026
Pb  0.000  0.000  0.474
Ca  0.500  0.500  0.750
Al  0.500  0.500  0.250

***

(2)
A plane-wave DFT calculation with GGA-PBE was carried out for crystalline Zr2Sn2Hg at its relaxed geometry.

Calculated values
- Excess energy over the best structure of this formula in the dataset: 0 meV/atom
- Formation energy: -0.250 eV/atom

Cell: 7.755 7.755 4.008 Å, 90.00 90.00 90.00°
Fractional coordinates of all 10 atoms:
Hg  0.000  0.000  0.000
Hg  0.500  0.500  0.000
Zr  0.358  0.858  0.000
Zr  0.858  0.642  0.000
Zr  0.642  0.142  0.000
Zr  0.142  0.358  0.000
Sn  0.161  0.661  0.500
Sn  0.661  0.839  0.500
Sn  0.839  0.339  0.500
Sn  0.339  0.161  0.500

***

(3)
A plane-wave DFT calculation with GGA-PBE was carried out for crystalline TbNdAu at its relaxed geometry.

Calculated values
- Excess energy over the best structure of this formula in the dataset: 182 meV/atom
- Formation energy: -0.391 eV/atom

Cell: 3.957 4.949 4.949 Å, 120.00 90.00 90.00°
Fractional coordinates of all 3 atoms:
Tb  0.250  0.333  0.667
Au  0.037  0.000  0.000
Nd  0.713  0.667  0.333

***

(4)
A plane-wave DFT calculation with GGA-PBE was carried out for crystalline Ba3SnP3 at its relaxed geometry.

Calculated values
- Excess energy over the best structure of this formula in the dataset: 0 meV/atom
- Formation energy: -0.875 eV/atom

Cell: 12.892 8.690 8.916 Å, 65.78 90.00 90.00°
Fractional coordinates of all 28 atoms:
Ba  0.930  0.801  0.729
Ba  0.430  0.699  0.271
Ba  0.070  0.199  0.271
Ba  0.570  0.301  0.729
Ba  0.796  0.325  0.055
Ba  0.296  0.175  0.945
Ba  0.204  0.675  0.945
Ba  0.704  0.825  0.055
Ba  0.334  0.991  0.505
Ba  0.834  0.509  0.495
Ba  0.666  0.009  0.495
Ba  0.166  0.491  0.505
Sn  0.006  0.861  0.165
Sn  0.506  0.639  0.835
Sn  0.994  0.139  0.835
Sn  0.494  0.361  0.165
P  0.803  0.126  0.755
P  0.303  0.374  0.245
P  0.197  0.874  0.245
P  0.697  0.626  0.755
P  0.030  0.421  0.842
P  0.530  0.079  0.158
P  0.970  0.579  0.158
P  0.470  0.921  0.842
P  0.632  0.434  0.332
P  0.132  0.066  0.668
P  0.368  0.566  0.668
P  0.868  0.934  0.332

***

(5)
A plane-wave DFT calculation with GGA-PBE was carried out for crystalline PmCu2Rh at its relaxed geometry.

Calculated values
- Excess energy over the best structure of this formula in the dataset: 23 meV/atom
- Formation energy: -0.223 eV/atom

Cell: 4.183 4.033 4.033 Å, 90.00 90.00 90.00°
Fractional coordinates of all 4 atoms:
Rh  0.500  0.000  0.000
Cu  0.000  0.000  0.500
Cu  0.000  0.500  0.000
Pm  0.500  0.500  0.500

***

(6)
A plane-wave DFT calculation with GGA-PBE was carried out for crystalline Hf2NbAuC at its relaxed geometry.

Calculated values
- Formation energy: -0.478 eV/atom

Cell: 4.484 4.484 4.277 Å, 90.00 90.00 90.00°
Site moments in Bohr magnetons follow the coordinates.
Fractional coordinates of all 5 atoms:
Hf  0.000  0.500  0.000  0.03
Hf  0.500  0.000  0.000  0.03
Nb  0.000  0.000  0.500  0.30
Au  0.500  0.500  0.500  0.01
C  0.000  0.000  0.000  -0.01

***

(7)
A plane-wave DFT calculation with GGA-PBE was carried out for crystalline ScIr2Br at its relaxed geometry.

Calculated values
- Excess energy over the best structure of this formula in the dataset: 599 meV/atom
- Energy relative to the elements, uncorrected: 0.2982 eV per atom

Cell: 4.596 4.596 3.247 Å, 90.00 90.00 90.00°
Fractional coordinates of all 4 atoms:
Br  0.000  0.500  0.500
Ir  0.000  0.000  0.000
Ir  0.500  0.500  0.000
Sc  0.500  0.000  0.500

***

(8)
A plane-wave DFT calculation with GGA-PBE was carried out for crystalline SnTe at its relaxed geometry.

Calculated values
- Energy relative to the elements, uncorrected: -0.1700 eV per atom

Cell: 5.428 5.428 6.506 Å, 90.00 90.00 120.00°
Fractional coordinates of all 4 atoms:
Sn  0.333  0.667  0.305
Sn  0.667  0.333  0.805
Te  0.333  0.667  0.777
Te  0.667  0.333  0.277

***

What did we get for total magnetization? Answer: 0.000, 0.014, 0.000, 0.000, 0.000, 0.087, 0.000, 0.000 μB per atom, in the order shown.
What did we get for raw total energy? Answer: -3.41, -5.33, -4.62, -4.59, -5.30, -8.97, -6.13, -3.74 eV per atom, in the order shown.